#P
{"formula": "Tl2PSe3", "functional": "meta-GGA SCAN", "state": "single point on PBEsol structure", "cell": [[6.6616, 0.0746, 0.0219], [-2.6447, 6.0317, -0.1032], [-3.2313, -1.8897, 7.9817]], "species": ["P", "P", "Se", "Se", "Se", "Se", "Se", "Se", "Tl", "Tl", "Tl", "Tl"], "fractional_positions": [[0.4481, 0.5601, 0.3157], [0.5519, 0.4399, 0.6843], [0.2149, 0.4557, 0.5221], [0.7851, 0.5443, 0.4779], [0.2437, 0.2844, 0.0810], [0.7563, 0.7156, 0.9190], [0.4663, 0.0925, 0.7282], [0.5337, 0.9075, 0.2718], [0.0947, 0.9468, 0.3284], [0.9053, 0.0532, 0.6716], [0.2379, 0.6749, 0.8899], [0.7621, 0.3251, 0.1101]]}

***

#Q
{"formula": "Tl2PSe3", "functional": "meta-GGA SCAN", "state": "single point on PBEsol structure", "cell": [[8.8957, 0.0000, 0.0000], [0.0000, 11.9585, 0.1320], [0.0000, -2.1682, 12.1075]], "species": ["P", "P", "P", "P", "P", "P", "P", "P", "Se", "Se", "Se", "Se", "Se", "Se", "Se", "Se", "Se", "Se", "Se", "Se", "Se", "Se", "Se", "Se", "Se", "Se", "Se", "Se", "Se", "Se", "Se", "Se", "Tl", "Tl", "Tl", "Tl", "Tl", "Tl", "Tl", "Tl", "Tl", "Tl", "Tl", "Tl", "Tl", "Tl", "Tl", "Tl"], "fractional_positions": [[0.9212, 0.4313, 0.0172], [0.4212, 0.5687, 0.4828], [0.0788, 0.5687, 0.9828], [0.5788, 0.4313, 0.5172], [0.0747, 0.0055, 0.4265], [0.5747, 0.9945, 0.0735], [0.9253, 0.9945, 0.5735], [0.4253, 0.0055, 0.9265], [0.8234, 0.1627, 0.6239], [0.3234, 0.8373, 0.8761], [0.1766, 0.8373, 0.3761], [0.6766, 0.1627, 0.1239], [0.1221, 0.6680, 0.1491], [0.6221, 0.3320, 0.3509], [0.8779, 0.3320, 0.8509], [0.3779, 0.6680, 0.6491], [0.7597, 0.8625, 0.5072], [0.2597, 0.1375, 0.9928], [0.2403, 0.1375, 0.4928], [0.7403, 0.8625, 0.0072], [0.7183, 0.5223, 0.0873], [0.2183, 0.4777, 0.4127], [0.2817, 0.4777, 0.9127], [0.7817, 0.5223, 0.5873], [0.0280, 0.3352, 0.1327], [0.5280, 0.6648, 0.3673], [0.9720, 0.6648, 0.8673], [0.4720, 0.3352, 0.6327], [0.9283, 0.0570, 0.2976], [0.4283, 0.9430, 0.2024], [0.0717, 0.9430, 0.7024], [0.5717, 0.0570, 0.7976], [0.9588, 0.2967, 0.4493], [0.4588, 0.7033, 0.0507], [0.0412, 0.7033, 0.5507], [0.5412, 0.2967, 0.9493], [0.8957, 0.0912, 0.9264], [0.3957, 0.9088, 0.5736], [0.1043, 0.9088, 0.0736], [0.6043, 0.0912, 0.4264], [0.8132, 0.7956, 0.2422], [0.3132, 0.2044, 0.2578], [0.1868, 0.2044, 0.7578], [0.6868, 0.7956, 0.7422], [0.6455, 0.5279, 0.8165], [0.1455, 0.4721, 0.6835], [0.3545, 0.4721, 0.1835], [0.8545, 0.5279, 0.3165]]}

***

The data favor #Q; the next most stable structure lies 108 meV per atom above it.

***

#P
{"formula": "ZnP2Se", "functional": "meta-GGA SCAN", "state": "single point on PBEsol structure", "cell": [[-3.0763, 0.8932, 1.0587], [-1.3844, -2.0692, -2.2769], [2.3328, -4.9505, 5.5799]], "species": ["P", "P", "Se", "Zn"], "fractional_positions": [[0.7500, 0.2500, 0.5000], [0.2500, 0.7500, 0.5000], [0.5000, 0.5000, 0.0000], [0.0000, 0.0000, 0.0000]]}

***

#Q
{"formula": "ZnP2Se", "functional": "meta-GGA SCAN", "state": "single point on PBEsol structure", "cell": [[-0.3510, -0.2450, -3.0474], [4.1979, -1.6412, -0.3516], [-1.5990, -4.2019, 0.5220]], "species": ["P", "P", "Se", "Zn"], "fractional_positions": [[0.0000, 0.0000, 0.0000], [0.5000, 0.5000, 0.0000], [0.5000, 0.0000, 0.5000], [0.0000, 0.5000, 0.5000]]}

***

The data favor #P; the next most stable structure lies 345 meV per atom above it.

***

#P
{"formula": "ZnPSe2", "functional": "meta-GGA SCAN", "state": "single point on PBEsol structure", "cell": [[3.5054, 0.0000, 0.0000], [0.0000, 3.5246, 0.0000], [0.0000, 0.0000, 7.1171]], "species": ["P", "Se", "Se", "Zn"], "fractional_positions": [[0.0000, 0.5000, 0.5000], [0.0000, 0.0000, 0.0000], [0.5000, 0.0000, 0.5000], [0.5000, 0.5000, 0.0000]]}

***

#Q
{"formula": "ZnPSe2", "functional": "meta-GGA SCAN", "state": "single point on PBEsol structure", "cell": [[3.2304, 0.0000, 0.0000], [0.0000, 3.2304, 0.0000], [0.0000, 0.0000, 6.5952]], "species": ["P", "Se", "Se", "Zn"], "fractional_positions": [[0.5000, 0.5000, 0.5000], [0.0000, 0.0000, 0.7449], [0.0000, 0.0000, 0.2551], [0.5000, 0.5000, 0.0000]]}

***

The data favor #P; the next most stable structure lies 327 meV per atom above it.

***

#P
{"formula": "Si3P", "functional": "meta-GGA SCAN", "state": "single point on PBEsol structure", "cell": [[4.2953, 0.0000, 0.0000], [0.0000, 5.5227, -0.0026], [0.0000, -1.7603, 5.2347]], "species": ["P", "P", "Si", "Si", "Si", "Si", "Si", "Si"], "fractional_positions": [[0.2500, 0.4596, 0.5404], [0.7500, 0.5404, 0.4596], [0.7500, 0.9319, 0.0681], [0.2500, 0.0681, 0.9319], [0.7500, 0.9799, 0.5954], [0.2500, 0.0201, 0.4046], [0.7500, 0.4046, 0.0201], [0.2500, 0.5954, 0.9799]]}

***

#Q
{"formula": "Si3P", "functional": "meta-GGA SCAN", "state": "single point on PBEsol structure", "cell": [[2.6894, 0.0000, 0.0000], [-1.3447, 2.3291, 0.0000], [0.0000, 0.0000, 8.9492]], "species": ["P", "Si", "Si", "Si"], "fractional_positions": [[0.0000, 0.0000, 0.0000], [0.0000, 0.0000, 0.5000], [0.3333, 0.6667, 0.7517], [0.3333, 0.6667, 0.2483]]}

***

The data favor #P; the next most stable structure lies 297 meV per atom above it.

***

#P
{"formula": "SiP2", "functional": "meta-GGA SCAN", "state": "single point on PBEsol structure", "cell": [[5.6899, 0.0000, 0.0000], [0.0000, 5.6899, 0.0000], [0.0000, 0.0000, 5.6899]], "species": ["P", "P", "P", "P", "P", "P", "P", "P", "Si", "Si", "Si", "Si"], "fractional_positions": [[0.3905, 0.3905, 0.3905], [0.1095, 0.6095, 0.8905], [0.6095, 0.8905, 0.1095], [0.8905, 0.1095, 0.6095], [0.6095, 0.6095, 0.6095], [0.8905, 0.3905, 0.1095], [0.3905, 0.1095, 0.8905], [0.1095, 0.8905, 0.3905], [0.0000, 0.0000, 0.0000], [0.5000, 0.0000, 0.5000], [0.0000, 0.5000, 0.5000], [0.5000, 0.5000, 0.0000]]}

***

#Q
{"formula": "SiP2", "functional": "meta-GGA SCAN", "state": "single point on PBEsol structure", "cell": [[-0.6115, -3.3785, 0.1221], [9.2581, -1.5970, 2.1749], [-3.0389, 1.0453, 13.7031]], "species": ["P", "P", "P", "P", "P", "P", "P", "P", "P", "P", "P", "P", "P", "P", "P", "P", "Si", "Si", "Si", "Si", "Si", "Si", "Si", "Si"], "fractional_positions": [[0.0000, 0.6493, 0.2967], [0.0000, 0.3507, 0.7033], [0.0000, 0.1493, 0.2033], [0.0000, 0.8507, 0.7967], [0.0000, 0.7688, 0.0469], [0.0000, 0.2312, 0.9531], [0.0000, 0.2688, 0.4531], [0.0000, 0.7312, 0.5469], [0.5000, 0.8863, 0.1142], [0.5000, 0.1137, 0.8858], [0.5000, 0.3863, 0.3858], [0.5000, 0.6137, 0.6142], [0.5000, 0.9408, 0.3948], [0.5000, 0.0592, 0.6052], [0.5000, 0.4408, 0.1052], [0.5000, 0.5592, 0.8948], [0.0000, 0.5804, 0.1440], [0.0000, 0.4196, 0.8560], [0.0000, 0.0804, 0.3560], [0.0000, 0.9196, 0.6440], [0.5000, 0.7955, 0.2678], [0.5000, 0.2045, 0.7322], [0.5000, 0.2955, 0.2322], [0.5000, 0.7045, 0.7678]]}

***

The data favor #P; the next most stable structure lies 14 meV per atom above it.

***

#P
{"formula": "Sr2SiP", "functional": "meta-GGA SCAN", "state": "single point on PBEsol structure", "cell": [[4.3571, 0.0000, 0.0000], [0.0000, 4.3571, 0.0000], [-2.1785, -2.1785, 5.3802]], "species": ["P", "Si", "Sr", "Sr"], "fractional_positions": [[0.5000, 0.5000, 0.0000], [0.2500, 0.7500, 0.5000], [0.0000, 0.0000, 0.0000], [0.7500, 0.2500, 0.5000]]}

***

#Q
{"formula": "Sr2SiP", "functional": "meta-GGA SCAN", "state": "single point on PBEsol structure", "cell": [[-1.2791, 2.9123, 1.1979], [0.3584, -1.9347, 5.0863], [4.8783, 2.3729, -0.5600]], "species": ["P", "Si", "Sr", "Sr"], "fractional_positions": [[0.5000, 0.0000, 0.0000], [0.5000, 0.5000, 0.5000], [0.0000, 0.5000, 0.0000], [0.0000, 0.0000, 0.5000]]}

***

The data favor #Q; the next most stable structure lies 177 meV per atom above it.